A plane-wave DFT calculation with PBE with a Hubbard U was carried out for PWCO2 after structural relaxation.

Cell: 3.7615 3.7615 5.1614 Å, 90.00 90.00 90.00°
Closest atoms and distances in Å follow each position.
Fractional coordinates of all 5 atoms:
1 P 0.0000 0.0000 0.5000  2 W 2.58, 4 C 2.66
2 O 0.5000 0.0000 0.0000  2 W 1.88
3 W 0.0000 0.0000 0.0000  4 O 1.88
4 O 0.0000 0.5000 0.0000  2 W 1.88
5 C 0.5000 0.5000 0.5000  4 P 2.66

Properties
VASP energy = -6.01 eV/atom
ΔE to the lowest computed polymorph = 0 meV/atom